1.
# CaAlCr2In

An optimized crystal structure of CaAlCr2In (PBE-GGA, Alexandria).

a = 5.3860 Å, b = 5.3860 Å, c = 5.5052 Å
α = 90.00°, β = 90.00°, γ = 90.00°
With the nearest neighbours (Å) after each atom.
Space group P4/mmm (No. 123)
Symmetry-distinct sites (fractional):
Ca  0.0000  0.0000  0.0000 [1 per cell]  4 Cr 2.69, 2 Al 2.75
Al  0.0000  0.0000  0.5000 [1 per cell]  2 Ca 2.75
Cr  0.0000  0.5000  0.0000 [2 per cell]  2 Ca 2.69
In  0.5000  0.5000  0.5000 [1 per cell]  4 Al 3.81, 8 Cr 3.85

Computed properties:
**E_form**: 1.612 eV/atom
**Total moment**: 9.36 μB/cell

=====

2.
# Ca2LaAlCr

An optimized crystal structure of Ca2LaAlCr (PBE-GGA, Alexandria).

a = 5.7346 Å, b = 5.7346 Å, c = 5.0371 Å
α = 90.00°, β = 90.00°, γ = 90.00°
With the nearest neighbours (Å) after each atom.
Space group P4/mmm (No. 123)
Symmetry-distinct sites (fractional):
Ca  0.0000  0.5000  0.0000 [2 per cell]  2 Al 2.87
La  0.0000  0.0000  0.5000 [1 per cell]  8 Ca 3.82, 4 Cr 4.05
Al  0.5000  0.5000  0.0000 [1 per cell]  2 Cr 2.52
Cr  0.5000  0.5000  0.5000 [1 per cell]  2 Al 2.52

Computed properties:
**E_form**: 0.489 eV/atom
**Total moment**: 3.93 μB/cell

=====

3.
# NaCaAlCr2

An optimized crystal structure of NaCaAlCr2 (PBE-GGA, Alexandria).

a = 5.0484 Å, b = 5.0484 Å, c = 5.4731 Å
α = 90.00°, β = 90.00°, γ = 90.00°
With the nearest neighbours (Å) after each atom.
Space group P4/mmm (No. 123)
Symmetry-distinct sites (fractional):
Na  0.0000  0.0000  0.0000 [1 per cell]  4 Cr 2.52, 2 Ca 2.74
Ca  0.0000  0.0000  0.5000 [1 per cell]  2 Na 2.74
Al  0.5000  0.5000  0.5000 [1 per cell]  4 Ca 3.57, 8 Cr 3.72
Cr  0.0000  0.5000  0.0000 [2 per cell]  2 Na 2.52

Computed properties:
**E_form**: 1.421 eV/atom
**Total moment**: 9.02 μB/cell

=====

Copy entry 1 word for word.
# CaAlCr2In

An optimized crystal structure of CaAlCr2In (PBE-GGA, Alexandria).

a = 5.3860 Å, b = 5.3860 Å, c = 5.5052 Å
α = 90.00°, β = 90.00°, γ = 90.00°
With the nearest neighbours (Å) after each atom.
Space group P4/mmm (No. 123)
Symmetry-distinct sites (fractional):
Ca  0.0000  0.0000  0.0000 [1 per cell]  4 Cr 2.69, 2 Al 2.75
Al  0.0000  0.0000  0.5000 [1 per cell]  2 Ca 2.75
Cr  0.0000  0.5000  0.0000 [2 per cell]  2 Ca 2.69
In  0.5000  0.5000  0.5000 [1 per cell]  4 Al 3.81, 8 Cr 3.85

Computed properties:
**E_form**: 1.612 eV/atom
**Total moment**: 9.36 μB/cell

=====

Number 1 is which compound?
CaAlCr2In